[1]
An optimized crystal structure of Sr2PrSb3Pd4. Source: the Alexandria database, functional PBE-GGA. Values from VASP.

Calculated values
The value obtained for the total energy is -49.62 eV for the cell shown.

Structure (Quantum ESPRESSO input):
```
&SYSTEM
  ibrav = 0, nat = 10, ntyp = 4
/
ATOMIC_SPECIES
Sr 87.62 Sr.upf
Pr 140.91 Pr.upf
Sb 121.76 Sb.upf
Pd 106.42 Pd.upf
CELL_PARAMETERS angstrom
4.634 0.000 0.000
0.000 4.634 0.000
0.000 0.000 11.683
ATOMIC_POSITIONS angstrom
Sr 2.317 0.000 2.553
Sr 0.000 2.317 9.130
Pr 2.317 2.317 5.841
Sb 0.000 0.000 5.841
Sb 2.317 0.000 10.243
Sb 0.000 2.317 1.440
Pd 2.317 2.317 0.000
Pd 0.000 0.000 0.000
Pd 2.317 0.000 7.603
Pd 0.000 2.317 4.080
```

=====

[2]
An optimized crystal structure of SrPrSb2Pd5. Source: the Alexandria database, functional PBE-GGA. Values from VASP.

Calculated values
The value obtained for the total energy is -46.44 eV for the cell shown.

Structure (Quantum ESPRESSO input):
```
&SYSTEM
  ibrav = 0, nat = 9, ntyp = 4
/
ATOMIC_SPECIES
Sr 87.62 Sr.upf
Pr 140.91 Pr.upf
Sb 121.76 Sb.upf
Pd 106.42 Pd.upf
CELL_PARAMETERS angstrom
-1.902 -3.700 2.259
-1.854 -1.535 -4.076
7.239 -4.660 -1.537
ATOMIC_POSITIONS angstrom
Sr 3.619 -2.330 -0.768
Pr 0.000 0.000 0.000
Sb -0.687 -3.384 -1.161
Sb 4.170 -6.511 -2.192
Pd 1.117 -2.084 -2.472
Pd 1.093 -3.166 0.695
Pd 4.268 -4.112 -3.141
Pd 4.244 -5.194 0.027
Pd 1.742 -4.948 -1.677
```